# 1
# YSbMo4 PBE relaxed
# - Uncorrected formation energy: 0.174 eV per atom
# - Space group: F-43m, No. 216
data_YSbMo4
_space_group_name_H-M_alt 'P 1'
_space_group_IT_number 1
_cell_length_a 5.4287
_cell_length_b 5.4287
_cell_length_c 5.4287
_cell_angle_alpha 60.00
_cell_angle_beta 60.00
_cell_angle_gamma 60.00
loop_
_space_group_symop_operation_xyz
'x,y,z'
loop_
_atom_site_label
_atom_site_type_symbol
_atom_site_fract_x
_atom_site_fract_y
_atom_site_fract_z
Y1 Y 0.0000 0.0000 0.0000
Sb1 Sb 0.2500 0.2500 0.2500
Mo1 Mo 0.1267 0.6244 0.6244
Mo2 Mo 0.6244 0.1267 0.6244
Mo3 Mo 0.6244 0.6244 0.1267
Mo4 Mo 0.6244 0.6244 0.6244

# 2
# YSbMo2 PBE relaxed
# - Uncorrected formation energy: 0.113 eV per atom
# - Space group: C2/m, No. 12
data_YSbMo2
_space_group_name_H-M_alt 'P 1'
_space_group_IT_number 1
_cell_length_a 5.2435
_cell_length_b 5.2435
_cell_length_c 5.1671
_cell_angle_alpha 102.55
_cell_angle_beta 102.55
_cell_angle_gamma 38.26
loop_
_space_group_symop_operation_xyz
'x,y,z'
loop_
_atom_site_label
_atom_site_type_symbol
_atom_site_fract_x
_atom_site_fract_y
_atom_site_fract_z
Y1 Y 0.0000 0.0000 0.0000
Sb1 Sb 0.5000 0.5000 0.5000
Mo1 Mo 0.2414 0.2414 0.6728
Mo2 Mo 0.7586 0.7586 0.3272

- Look up the uncorrected formation energy of the second one.
  0.113 eV per atom